No. 1
Here is a geometry-optimized LiTb2Th3Se6 structure from Alexandria via LeMat-Bulk. Energies are from PBE.

Values from the calculation:
The value obtained for the total energy is -0.4511 Ry/atom.

Cell: 4.0219 8.4963 9.3894 Å, 107.79 102.37 90.00°
With the nearest neighbours (Å) after each atom.
Positions (direct):
Se (0.3438, 0.9149, 0.6876)  1 Li 2.73, 2 Tb 2.87, 2 Th 2.99
Th (0.5000, 0.5000, 0.0000)  6 Se 2.98-3.04
Se (0.9986, 0.7672, 0.9971)  2 Li 2.81, 1 Tb 2.87, 3 Th 3.00-3.04
Se (0.6697, 0.5743, 0.3393)  3 Tb 2.86-2.87, 3 Th 2.98-2.99
Tb (0.1663, 0.3318, 0.3326)  6 Se 2.86-2.87
Tb (0.8337, 0.6682, 0.6674)  6 Se 2.86-2.87
Th (0.8310, 0.1652, 0.6620)  6 Se 2.99-3.06
Th (0.1690, 0.8348, 0.3380)  6 Se 2.99-3.06
Se (0.0014, 0.2328, 0.0029)  2 Li 2.81, 1 Tb 2.87, 3 Th 3.00-3.04
Li (0.5000, 0.0000, 0.0000)  6 Se 2.73-2.81
Se (0.3303, 0.4257, 0.6607)  3 Tb 2.86-2.87, 3 Th 2.98-2.99
Se (0.6562, 0.0851, 0.3124)  1 Li 2.73, 2 Tb 2.87, 2 Th 2.99

No. 2
Here is a geometry-optimized BeSnTe2 structure from Alexandria via LeMat-Bulk. Energies are from PBE.

Values from the calculation:
The value obtained for the total energy is -0.2526 Ry/atom. The excess energy over the best structure of this formula in the dataset is 196.9 meV per atom.

Cell: 9.6666 9.6666 9.6666 Å, 21.38 21.38 21.38°
With the nearest neighbours (Å) after each atom.
Positions (direct):
Te (0.8877, 0.8877, 0.8877)  3 Be 2.58
Te (0.1123, 0.1123, 0.1123)  3 Be 2.58
Be (0.5000, 0.5000, 0.5000)  6 Te 2.58
Sn (0.0000, 0.0000, 0.0000)  2 Te 3.18

No. 3
Here is a geometry-optimized Pm2Pr6DyY3 structure from Alexandria via LeMat-Bulk. Energies are from PBE.

Values from the calculation:
The value obtained for the total energy is -0.3801 Ry/atom. As for the formation energy: 0.009 eV per atom.

Cell: 6.3502 6.3502 12.0087 Å, 95.04 95.04 120.01°
With the nearest neighbours (Å) after each atom.
Positions (direct):
Pm (0.3333, 0.6667, 0.0000)  6 Pr 3.65, 3 Pm 3.67, 3 Dy 3.67
Y (0.8334, 0.1666, 0.5000)  6 Pr 3.62-3.63, 6 Y 3.67
Y (0.1666, 0.8334, 0.5000)  6 Pr 3.62-3.63, 6 Y 3.67
Pr (0.7510, 0.7510, 0.2514)  3 Y 3.62, 1 Dy 3.65, 2 Pm 3.65, 6 Pr 3.66-3.67
Pr (0.4164, 0.0837, 0.2511)  3 Y 3.62-3.63, 1 Dy 3.64, 2 Pm 3.65, 6 Pr 3.66-3.67
Pr (0.5836, 0.9163, 0.7489)  3 Y 3.62-3.63, 1 Dy 3.64, 2 Pm 3.65, 6 Pr 3.66-3.67
Pr (0.0837, 0.4164, 0.2511)  3 Y 3.62-3.63, 1 Dy 3.64, 2 Pm 3.65, 6 Pr 3.66-3.67
Pr (0.9163, 0.5836, 0.7489)  3 Y 3.62-3.63, 1 Dy 3.64, 2 Pm 3.65, 6 Pr 3.66-3.67
Pm (0.6667, 0.3333, 0.0000)  6 Pr 3.65, 3 Pm 3.67, 3 Dy 3.67
Y (0.5000, 0.5000, 0.5000)  6 Pr 3.62, 6 Y 3.67
Dy (0.0000, 0.0000, 0.0000)  6 Pr 3.64-3.65, 6 Pm 3.67
Pr (0.2490, 0.2490, 0.7486)  3 Y 3.62, 1 Dy 3.65, 2 Pm 3.65, 6 Pr 3.66-3.67

Q: What is the formula in the second record?
A: BeSnTe2